Record 1
The following is a DFT calculation (PBE) of SrBeAu2 after structural relaxation.

The space group is P2/m (No. 10) and the conventional cell measures 3.9451, 3.5811 and 6.5211 Å, with angles of 90.00, 107.35 and 90.00 degrees. The distinct sites, in fractional coordinates, are Sr at (0.0000, 0.0000, 0.0000), Be at (0.0000, 0.0000, 0.5000) and Au at (0.3346, 0.5000, 0.6802).

As for the size of the total moment: 0.00 μB/f.u. Its raw total energy is -3.267 eV/atom.

***

Record 2
The following is a DFT calculation (PBE) of NaRuS2 after structural relaxation.

The space group is Fm-3m (No. 225) and the conventional cell measures 6.2031, 6.2031 and 6.2031 Å, with angles of 90.00, 90.00 and 90.00 degrees. The distinct sites, in fractional coordinates, are Na at (0.0000, 0.0000, 0.0000), Ru at (0.0000, 0.0000, 0.5000) and S at (0.2500, 0.2500, 0.2500).

Its formation energy (no corrections) is -0.10 eV per atom. As for the size of the total moment: 0.00 μB/f.u.

***

Record 3
The following is a DFT calculation (PBE) of PmPd3Au6 after structural relaxation.

The space group is P2_1/c (No. 14) and the conventional cell measures 6.9129, 7.0688 and 9.2399 Å, with angles of 90.00, 121.97 and 90.00 degrees. The distinct sites, in fractional coordinates, are Pm at (0.0000, 0.0000, 0.0000), Pd at (0.2470, 0.1788, 0.4484), Pd at (0.5000, 0.0000, 0.0000), Au at (0.1296, 0.0659, 0.6759), Au at (0.2546, 0.6900, 0.8411) and Au at (0.4906, 0.1450, 0.2867).

As for the size of the total moment: 0.00 μB/f.u. Its raw total energy is -4.296 eV/atom.

***

Record 4
The following is a DFT calculation (PBE) of Ca2MgF6 after structural relaxation.

The space group is P4_2/mnm (No. 136) and the conventional cell measures 5.0624, 5.0624 and 10.2216 Å, with angles of 90.00, 90.00 and 90.00 degrees. The distinct sites, in fractional coordinates, are Ca at (0.0000, 0.0000, 0.1657), Mg at (0.0000, 0.0000, 0.5000), F at (0.1852, 0.1852, 0.3484) and F at (0.2148, 0.2148, 0.0000).

Its formation energy (no corrections) is -3.77 eV per atom. As for the size of the total moment: 0.00 μB/f.u. Its energy above the most stable polymorph in this dataset is 0.0 kJ/mol of atoms.